w.
Tb3Dy2In3, optimized geometry, DFT GGA-PBE; space group = Immm; DOS at the Fermi energy = 0.81 states/eV/atom
1.0
3.7718 0.0000 0.0000
0.0000 5.3461 0.0000
0.0000 0.0000 22.3556
Tb Dy In
6 4 6
direct
0.0000 0.0000 0.0000 Tb
0.0000 0.5000 0.1242 Tb
0.0000 0.5000 0.8758 Tb
0.5000 0.0000 0.3758 Tb
0.5000 0.0000 0.6242 Tb
0.5000 0.5000 0.5000 Tb
0.0000 0.0000 0.2348 Dy
0.0000 0.0000 0.7652 Dy
0.5000 0.5000 0.2652 Dy
0.5000 0.5000 0.7348 Dy
0.0000 0.0000 0.5000 In
0.0000 0.5000 0.3805 In
0.0000 0.5000 0.6195 In
0.5000 0.0000 0.1195 In
0.5000 0.0000 0.8805 In
0.5000 0.5000 0.0000 In

---

x.
Tb3Dy2In3, optimized geometry, DFT GGA-PBE; space group = Pmmm; DOS at the Fermi energy = 0.95 states/eV/atom
1.0
4.9162 0.0000 0.0000
0.0000 4.9194 0.0000
0.0000 0.0000 9.1705
Tb Dy In
3 2 3
direct
0.0000 0.0000 0.0000 Tb
0.5000 0.0000 0.2628 Tb
0.5000 0.0000 0.7372 Tb
0.0000 0.5000 0.2645 Dy
0.0000 0.5000 0.7355 Dy
0.0000 0.0000 0.5000 In
0.5000 0.5000 0.0000 In
0.5000 0.5000 0.5000 In

---

Stability ranking, top and bottom: w is the most stable and x is the least stable.

---

w.
Tb4Dy2In, optimized geometry, DFT GGA-PBE; space group = Fdd2; DOS at the Fermi energy = 1.42 states/eV/atom
1.0
0.0000 10.9202 3.9518
5.0898 0.0000 3.9518
5.0898 10.9202 0.0000
Tb Dy In
8 4 2
direct
0.0691 0.9309 0.0931 Tb
0.1569 0.3431 0.1809 Tb
0.2686 0.5740 0.5012 Tb
0.3431 0.1569 0.3191 Tb
0.5740 0.2686 0.6562 Tb
0.5938 0.7488 0.6760 Tb
0.7488 0.5938 0.9814 Tb
0.9309 0.0691 0.9069 Tb
0.1222 0.5291 0.9018 Dy
0.3482 0.8030 0.1278 Dy
0.5291 0.1222 0.4470 Dy
0.8030 0.3482 0.7209 Dy
0.6546 0.6546 0.3454 In
0.9046 0.9046 0.5954 In

---

x.
Tb4Dy2In, optimized geometry, DFT GGA-PBE; space group = R-3m; DOS at the Fermi energy = 1.55 states/eV/atom
1.0
1.8073 1.0435 19.3117
-1.8073 1.0435 19.3117
0.0000 -2.0869 19.3117
Tb Dy In
4 2 1
direct
0.0933 0.0933 0.0933 Tb
0.2898 0.2898 0.2898 Tb
0.7102 0.7102 0.7102 Tb
0.9067 0.9067 0.9067 Tb
0.1910 0.1910 0.1910 Dy
0.8090 0.8090 0.8090 Dy
0.0000 0.0000 0.0000 In

---

Stability ranking, top and bottom: x is the most stable and w is the least stable.

---

w.
Tb6Dy2In, optimized geometry, DFT GGA-PBE; space group = Immm; DOS at the Fermi energy = 1.27 states/eV/atom
1.0
-1.7427 5.0851 7.9496
1.7427 -5.0851 7.9496
1.7427 5.0851 -7.9496
Tb Dy In
6 2 1
direct
0.0138 0.1766 0.8372 Tb
0.3048 0.5000 0.8048 Tb
0.3393 0.1766 0.1628 Tb
0.6607 0.8234 0.8372 Tb
0.6952 0.5000 0.1952 Tb
0.9862 0.8234 0.1628 Tb
0.3455 0.8455 0.5000 Dy
0.6545 0.1545 0.5000 Dy
0.0000 0.0000 0.0000 In

---

x.
Tb6Dy2In, optimized geometry, DFT GGA-PBE; space group = C2/c; DOS at the Fermi energy = 1.49 states/eV/atom
1.0
7.4825 -4.2520 0.0000
7.4825 4.2520 0.0000
-1.6250 0.0000 8.9403
Tb Dy In
12 4 2
direct
0.0868 0.6301 0.4728 Tb
0.1078 0.7261 0.8777 Tb
0.2739 0.8922 0.6223 Tb
0.3339 0.4387 0.1695 Tb
0.3699 0.9132 0.0272 Tb
0.4387 0.3339 0.6695 Tb
0.5613 0.6661 0.3305 Tb
0.6301 0.0868 0.9728 Tb
0.6661 0.5613 0.8305 Tb
0.7261 0.1078 0.3777 Tb
0.8922 0.2739 0.1223 Tb
0.9132 0.3699 0.5272 Tb
0.1369 0.3058 0.8590 Dy
0.3058 0.1369 0.3590 Dy
0.6942 0.8631 0.6410 Dy
0.8631 0.6942 0.1410 Dy
0.1218 0.8782 0.2500 In
0.8782 0.1218 0.7500 In

---

Stability ranking, top and bottom: w is the most stable and x is the least stable.

---

w.
Tb4DyIn, optimized geometry, DFT GGA-PBE; space group = P4/mmm; DOS at the Fermi energy = 1.19 states/eV/atom
1.0
3.5709 0.0000 0.0000
0.0000 3.5709 0.0000
0.0000 0.0000 14.3398
Tb Dy In
4 1 1
direct
0.0000 0.0000 0.1479 Tb
0.0000 0.0000 0.8521 Tb
0.5000 0.5000 0.3248 Tb
0.5000 0.5000 0.6752 Tb
0.0000 0.0000 0.5000 Dy
0.5000 0.5000 0.0000 In

---

x.
Tb4DyIn, optimized geometry, DFT GGA-PBE; space group = Cmc2_1; DOS at the Fermi energy = 1.47 states/eV/atom
1.0
2.7649 -8.5244 0.0000
2.7649 8.5244 0.0000
0.0000 0.0000 7.6673
Tb Dy In
8 2 2
direct
0.0023 0.9977 0.5000 Tb
0.1517 0.8483 0.2436 Tb
0.3255 0.6745 0.4851 Tb
0.4902 0.5098 0.7498 Tb
0.5098 0.4902 0.2498 Tb
0.6745 0.3255 0.9851 Tb
0.8483 0.1517 0.7436 Tb
0.9977 0.0023 0.0000 Tb
0.3269 0.6731 0.0099 Dy
0.6731 0.3269 0.5099 Dy
0.1651 0.8349 0.7503 In
0.8349 0.1651 0.2503 In

---

Stability ranking, top and bottom: w is the most stable and x is the least stable.

---

w.
Tb3DyIn2, optimized geometry, DFT GGA-PBE; space group = Immm; DOS at the Fermi energy = 1.29 states/eV/atom
1.0
3.4031 0.0000 0.0000
0.0000 5.6609 0.0000
0.0000 0.0000 18.7314
Tb Dy In
6 2 4
direct
0.0000 0.0000 0.0000 Tb
0.0000 0.5000 0.1859 Tb
0.0000 0.5000 0.8141 Tb
0.5000 0.0000 0.3141 Tb
0.5000 0.0000 0.6859 Tb
0.5000 0.5000 0.5000 Tb
0.0000 0.5000 0.0000 Dy
0.5000 0.0000 0.5000 Dy
0.0000 0.5000 0.3541 In
0.0000 0.5000 0.6459 In
0.5000 0.0000 0.1459 In
0.5000 0.0000 0.8541 In

---

x.
Tb3DyIn2, optimized geometry, DFT GGA-PBE; space group = Pmc2_1; DOS at the Fermi energy = 0.94 states/eV/atom
1.0
5.2020 0.0000 0.0000
0.0000 9.8577 0.0000
0.0000 0.0000 6.7301
Tb Dy In
6 2 4
direct
0.0000 0.0370 0.0000 Tb
0.0000 0.3197 0.3491 Tb
0.0000 0.6803 0.8491 Tb
0.0000 0.9630 0.5000 Tb
0.5000 0.1816 0.7223 Tb
0.5000 0.8184 0.2223 Tb
0.5000 0.4625 0.0711 Dy
0.5000 0.5375 0.5711 Dy
0.0000 0.3581 0.8260 In
0.0000 0.6419 0.3260 In
0.5000 0.1422 0.2457 In
0.5000 0.8578 0.7457 In

---

Stability ranking, top and bottom: x is the most stable and w is the least stable.

---

w.
Tb4Dy7In, optimized geometry, DFT GGA-PBE; space group = C2/m; DOS at the Fermi energy = 1.73 states/eV/atom
1.0
6.0462 -2.9255 0.0000
6.0462 2.9255 0.0000
-5.3340 0.0000 11.1545
Tb Dy In
4 7 1
direct
0.1325 0.1325 0.2699 Tb
0.3477 0.3477 0.8749 Tb
0.6523 0.6523 0.1251 Tb
0.8675 0.8675 0.7301 Tb
0.0000 0.0000 0.5000 Dy
0.1311 0.1311 0.9769 Dy
0.2992 0.2992 0.5793 Dy
0.4039 0.4039 0.2221 Dy
0.5961 0.5961 0.7779 Dy
0.7008 0.7008 0.4207 Dy
0.8689 0.8689 0.0231 Dy
0.5000 0.5000 0.5000 In

---

x.
Tb4Dy7In, optimized geometry, DFT GGA-PBE; space group = C2/m; DOS at the Fermi energy = 1.52 states/eV/atom
1.0
11.1234 -2.7653 0.0000
11.1234 2.7653 0.0000
-1.2117 0.0000 6.2432
Tb Dy In
4 7 1
direct
0.1158 0.1158 0.3483 Tb
0.2084 0.2084 0.8928 Tb
0.7916 0.7916 0.1072 Tb
0.8842 0.8842 0.6517 Tb
0.0471 0.0471 0.8115 Dy
0.2899 0.2899 0.4320 Dy
0.3639 0.3639 0.9949 Dy
0.5000 0.5000 0.5000 Dy
0.6361 0.6361 0.0051 Dy
0.7101 0.7101 0.5680 Dy
0.9529 0.9529 0.1885 Dy
0.5000 0.5000 0.0000 In

---

Stability ranking, top and bottom: x is the most stable and w is the least stable.

---

w.
TbDyTmIn, optimized geometry, DFT GGA-PBE; space group = F-43m; DOS at the Fermi energy = 1.63 states/eV/atom
1.0
7.6803 0.0000 0.0000
0.0000 7.6803 0.0000
0.0000 0.0000 7.6803
Tb Dy Tm In
4 4 4 4
direct
0.0000 0.0000 0.0000 Tb
0.0000 0.5000 0.5000 Tb
0.5000 0.0000 0.5000 Tb
0.5000 0.5000 0.0000 Tb
0.0000 0.0000 0.5000 Dy
0.0000 0.5000 0.0000 Dy
0.5000 0.0000 0.0000 Dy
0.5000 0.5000 0.5000 Dy
0.2500 0.2500 0.7500 Tm
0.2500 0.7500 0.2500 Tm
0.7500 0.2500 0.2500 Tm
0.7500 0.7500 0.7500 Tm
0.2500 0.2500 0.2500 In
0.2500 0.7500 0.7500 In
0.7500 0.2500 0.7500 In
0.7500 0.7500 0.2500 In

---

x.
TbDyTmIn, optimized geometry, DFT GGA-PBE; space group = Pmmm; DOS at the Fermi energy = 1.46 states/eV/atom
1.0
4.8273 0.0000 0.0000
0.0000 4.8281 0.0000
0.0000 0.0000 4.8310
Tb Dy Tm In
1 1 1 1
direct
0.0000 0.0000 0.0000 Tb
0.5000 0.0000 0.5000 Dy
0.5000 0.5000 0.0000 Tm
0.0000 0.5000 0.5000 In

---

Stability ranking, top and bottom: x is the most stable and w is the least stable.

---

w.
Dy2InTc, optimized geometry, DFT GGA-PBE; space group = Fm-3m; DOS at the Fermi energy = 0.78 states/eV/atom
1.0
7.1755 0.0000 0.0000
0.0000 7.1755 0.0000
0.0000 0.0000 7.1755
Dy In Tc
8 4 4
direct
0.2500 0.2500 0.2500 Dy
0.2500 0.2500 0.7500 Dy
0.2500 0.7500 0.2500 Dy
0.2500 0.7500 0.7500 Dy
0.7500 0.2500 0.2500 Dy
0.7500 0.2500 0.7500 Dy
0.7500 0.7500 0.2500 Dy
0.7500 0.7500 0.7500 Dy
0.0000 0.0000 0.0000 In
0.0000 0.5000 0.5000 In
0.5000 0.0000 0.5000 In
0.5000 0.5000 0.0000 In
0.0000 0.0000 0.5000 Tc
0.0000 0.5000 0.0000 Tc
0.5000 0.0000 0.0000 Tc
0.5000 0.5000 0.5000 Tc

---

x.
Dy2InTc, optimized geometry, DFT GGA-PBE; space group = P4/mmm; DOS at the Fermi energy = 1.13 states/eV/atom
1.0
3.5607 0.0000 0.0000
0.0000 3.5607 0.0000
0.0000 0.0000 7.4231
Dy In Tc
2 1 1
direct
0.0000 0.0000 0.2156 Dy
0.0000 0.0000 0.7844 Dy
0.5000 0.5000 0.5000 In
0.5000 0.5000 0.0000 Tc

---

Stability ranking, top and bottom: x is the most stable and w is the least stable.

---

w.
Dy2InTe, optimized geometry, DFT GGA-PBE; space group = R3m; DOS at the Fermi energy = 0.79 states/eV/atom
1.0
4.0307 0.0000 0.0000
-2.0154 3.4907 0.0000
0.0000 0.0000 25.3868
Dy In Te
6 3 3
direct
0.0000 0.0000 0.0000 Dy
0.0000 0.0000 0.1770 Dy
0.3333 0.6667 0.6667 Dy
0.3333 0.6667 0.8436 Dy
0.6667 0.3333 0.3333 Dy
0.6667 0.3333 0.5103 Dy
0.0000 0.0000 0.7556 In
0.3333 0.6667 0.4223 In
0.6667 0.3333 0.0890 In
0.0000 0.0000 0.5875 Te
0.3333 0.6667 0.2542 Te
0.6667 0.3333 0.9208 Te

---

x.
Dy2InTe, optimized geometry, DFT GGA-PBE; space group = Pmna; DOS at the Fermi energy = 0.68 states/eV/atom
1.0
6.1848 0.0000 0.0000
0.0000 6.1847 0.0000
0.0000 0.0000 12.3904
Dy In Te
8 4 4
direct
0.0000 0.2467 0.1281 Dy
0.0000 0.2517 0.6219 Dy
0.0000 0.7483 0.3781 Dy
0.0000 0.7533 0.8719 Dy
0.5000 0.2467 0.3719 Dy
0.5000 0.2517 0.8781 Dy
0.5000 0.7483 0.1219 Dy
0.5000 0.7533 0.6281 Dy
0.0000 0.2532 0.8750 In
0.0000 0.7468 0.1250 In
0.5000 0.2532 0.6250 In
0.5000 0.7468 0.3750 In
0.0000 0.2483 0.3750 Te
0.0000 0.7517 0.6250 Te
0.5000 0.2483 0.1250 Te
0.5000 0.7517 0.8750 Te

---

y.
Dy2InTe, optimized geometry, DFT GGA-PBE; space group = R-3m; DOS at the Fermi energy = 0.49 states/eV/atom
1.0
4.1453 0.0000 0.0000
-2.0726 3.5899 0.0000
0.0000 0.0000 23.7805
Dy In Te
6 3 3
direct
0.0000 0.0000 0.2488 Dy
0.0000 0.0000 0.7512 Dy
0.3333 0.6667 0.4179 Dy
0.3333 0.6667 0.9154 Dy
0.6667 0.3333 0.0846 Dy
0.6667 0.3333 0.5821 Dy
0.0000 0.0000 0.0000 In
0.3333 0.6667 0.6667 In
0.6667 0.3333 0.3333 In
0.0000 0.0000 0.5000 Te
0.3333 0.6667 0.1667 Te
0.6667 0.3333 0.8333 Te

---

z.
Dy2InTe, optimized geometry, DFT GGA-PBE; space group = P4/mmm; DOS at the Fermi energy = 0.78 states/eV/atom
1.0
3.6626 0.0000 0.0000
0.0000 3.6626 0.0000
0.0000 0.0000 8.1277
Dy In Te
2 1 1
direct
0.0000 0.0000 0.2399 Dy
0.0000 0.0000 0.7601 Dy
0.5000 0.5000 0.5000 In
0.5000 0.5000 0.0000 Te

---

Stability ranking, top and bottom: y is the most stable and z is the least stable.

---

w.
Dy3InTe, optimized geometry, DFT GGA-PBE; space group = P2_1/c; DOS at the Fermi energy = 1.06 states/eV/atom
1.0
9.0034 0.0000 0.0000
0.0000 6.3567 0.0000
-2.6124 0.0000 10.1432
Dy In Te
12 4 4
direct
0.0315 0.0771 0.2916 Dy
0.0315 0.4229 0.7916 Dy
0.1800 0.6568 0.5350 Dy
0.1800 0.8432 0.0350 Dy
0.4099 0.2192 0.8730 Dy
0.4099 0.2808 0.3730 Dy
0.5901 0.7192 0.6270 Dy
0.5901 0.7808 0.1270 Dy
0.8200 0.1568 0.9650 Dy
0.8200 0.3432 0.4650 Dy
0.9685 0.5771 0.2084 Dy
0.9685 0.9229 0.7084 Dy
0.3557 0.7174 0.8317 In
0.3557 0.7826 0.3317 In
0.6443 0.2174 0.6683 In
0.6443 0.2826 0.1683 In
0.1877 0.1761 0.5852 Te
0.1877 0.3239 0.0852 Te
0.8123 0.6761 0.9148 Te
0.8123 0.8239 0.4148 Te

---

x.
Dy3InTe, optimized geometry, DFT GGA-PBE; space group = Pnma; DOS at the Fermi energy = 0.85 states/eV/atom
1.0
8.0436 0.0000 0.0000
0.0000 4.5036 0.0000
0.0000 0.0000 16.2726
Dy In Te
12 4 4
direct
0.0154 0.2500 0.1116 Dy
0.1324 0.2500 0.5580 Dy
0.1872 0.7500 0.2619 Dy
0.3128 0.2500 0.7619 Dy
0.3676 0.7500 0.0580 Dy
0.4846 0.7500 0.6116 Dy
0.5154 0.2500 0.3884 Dy
0.6324 0.2500 0.9420 Dy
0.6872 0.7500 0.2381 Dy
0.8128 0.2500 0.7381 Dy
0.8676 0.7500 0.4420 Dy
0.9846 0.7500 0.8884 Dy
0.0839 0.7500 0.6928 In
0.4161 0.2500 0.1928 In
0.5839 0.7500 0.8072 In
0.9161 0.2500 0.3072 In
0.2208 0.2500 0.9486 Te
0.2792 0.7500 0.4486 Te
0.7208 0.2500 0.5514 Te
0.7792 0.7500 0.0514 Te

---

Stability ranking, top and bottom: x is the most stable and w is the least stable.